PBE-GGA BeRePb2, optimized geometry; ρ = 12.7 Mg/m³; magnetization = 0.00 μB per formula unit; ΔH_f (0 K) = 633.0 meV/atom; calculated volume = 80 Å³/cell; SG = Amm2
1.0
4.192 0.000 0.000
0.000 3.705 -0.001
0.000 1.856 5.127
Re Pb Be
1 2 1
Direct
0.000 0.680 0.516 Re
0.000 0.970 0.935 Pb
0.500 0.279 0.317 Pb
0.500 0.571 0.732 Be